(1)
Compound: CaTb5Ga6
Source: the Alexandria database
Functional: PBE
Structure: relaxed

Cell: 5.095 7.154 15.329 Å, 90.00 90.00 90.00°
Space group Immm (No. 71)
One atom of each set of equivalent atoms:
Ca 0.000 0.000 0.000
Tb 0.000 0.000 0.329
Tb 0.000 0.500 0.000
Tb 0.000 0.500 0.341
Ga 0.000 0.239 0.500
Ga 0.000 0.256 0.168

Results
Electronic total energy: -0.306 Ry per atom
D(E_F): 0.5238 states/eV per atom
Formation energy: -0.56 eV per atom



(2)
Compound: TbTmZn10
Source: the Alexandria database
Functional: PBE
Structure: relaxed

Cell: 4.210 5.305 9.143 Å, 90.00 90.00 90.00°
Space group Pmmm (No. 47)
One atom of each set of equivalent atoms:
Tb 0.000 0.000 0.000
Tm 0.000 0.500 0.500
Zn 0.000 0.000 0.336
Zn 0.000 0.500 0.169
Zn 0.500 0.000 0.500
Zn 0.500 0.250 0.251
Zn 0.500 0.500 0.000

Results
Electronic total energy: -0.154 Ry per atom
D(E_F): 0.4356 states/eV per atom
Formation energy: -0.27 eV per atom



(3)
Compound: Ir2C
Source: the Alexandria database
Functional: PBE
Structure: relaxed

Cell: 9.743 2.848 2.983 Å, 90.00 97.85 90.00°
Space group C2/m (No. 12)
One atom of each set of equivalent atoms:
Ir 0.138 0.000 0.040
C 0.000 0.000 0.500

Results
Energy above the most stable polymorph in this dataset: 0.105 eV per atom
Electronic total energy: -0.611 Ry per atom
D(E_F): 0.6163 states/eV per atom
Formation energy: 0.66 eV per atom



(4)
Compound: Cs3IBr
Source: the Alexandria database
Functional: PBE
Structure: relaxed

Cell: 9.407 5.262 13.984 Å, 90.00 103.75 90.00°
Space group P2_1/m (No. 11)
One atom of each set of equivalent atoms:
Cs 0.008 0.250 0.323
Cs 0.261 0.250 0.994
Cs 0.472 0.250 0.675
I 0.247 0.750 0.491
Br 0.370 0.750 0.837

Results
Energy above the most stable polymorph in this dataset: 0.000 eV per atom
Electronic total energy: -0.180 Ry per atom
E_form (uncorrected): -1286.0 meV/atom
D(E_F): 0.3298 states/eV per atom



(5)
Compound: TbScBi
Source: the Alexandria database
Functional: PBE
Structure: relaxed

Cell: 3.940 3.940 10.574 Å, 90.00 90.00 90.00°
Space group I4mm (No. 107)
One atom of each set of equivalent atoms:
Tb 0.000 0.000 0.000
Sc 0.000 0.000 0.684
Bi 0.000 0.000 0.325

Results
Electronic total energy: -0.395 Ry per atom
D(E_F): 0.7254 states/eV per atom
Formation energy: -0.42 eV per atom



(6)
Compound: BeAlTe2
Source: the Alexandria database
Functional: PBE
Structure: relaxed

Cell: 3.758 8.890 7.536 Å, 90.00 90.00 90.00°
Space group Cmmm (No. 65)
One atom of each set of equivalent atoms:
Be 0.000 0.000 0.000
Al 0.000 0.000 0.500
Te 0.000 0.500 0.230

Results
Energy above the most stable polymorph in this dataset: 0.296 eV per atom
Electronic total energy: -0.238 Ry per atom
E_form (uncorrected): 205.5 meV/atom
D(E_F): 0.2372 states/eV per atom



(7)
Compound: AcNd5Er4
Source: the Alexandria database
Functional: PBE
Structure: relaxed

Cell: 3.673 3.673 25.334 Å, 90.00 90.00 90.00°
Space group P4/mmm (No. 123)
One atom of each set of equivalent atoms:
Ac 0.000 0.000 0.000
Nd 0.500 0.500 0.110
Nd 0.500 0.500 0.306
Nd 0.500 0.500 0.500
Er 0.000 0.000 0.208
Er 0.000 0.000 0.403

Results
Electronic total energy: -0.337 Ry per atom
D(E_F): 1.4625 states/eV per atom
Formation energy: 0.03 eV per atom



(8)
Compound: Co3SnSe
Source: the Alexandria database
Functional: PBE
Structure: relaxed

Cell: 4.704 4.704 4.704 Å, 90.00 90.00 90.00°
Space group Pm-3m (No. 221)
One atom of each set of equivalent atoms:
Co 0.000 0.000 0.500
Sn 0.000 0.000 0.000
Se 0.500 0.500 0.500

Results
Energy above the most stable polymorph in this dataset: 0.864 eV per atom
Electronic total energy: -0.322 Ry per atom
E_form (uncorrected): 1374.3 meV/atom
D(E_F): 2.0317 states/eV per atom



(9)
Compound: Sc2Pd4Pb
Source: the Alexandria database
Functional: PBE
Structure: relaxed

Cell: 4.6823 4.6823 20.1962 Å, 90.00 90.00 120.00°
Space group R-3m (No. 166, hexagonal axes)
One atom of each set of equivalent atoms:
Sc 0.0000 0.0000 0.2335
Pd 0.0000 0.0000 0.0773
Pd 0.0000 0.0000 0.3604
Pb 0.0000 0.0000 0.5000

Results
Electronic total energy: -0.433 Ry per atom
D(E_F): 0.6485 states/eV per atom
Formation energy: -0.58 eV per atom



(10)
Compound: TbHoErLu
Source: the Alexandria database
Functional: PBE
Structure: relaxed

Cell: 7.912 7.912 7.912 Å, 90.00 90.00 90.00°
Space group F-43m (No. 216)
One atom of each set of equivalent atoms:
Tb 0.000 0.000 0.000
Ho 0.000 0.000 0.500
Er 0.250 0.250 0.750
Lu 0.250 0.250 0.250

Results
Electronic total energy: -0.326 Ry per atom
D(E_F): 2.1565 states/eV per atom
Formation energy: 0.13 eV per atom



(11)
Compound: CaLuCdGa
Source: the Alexandria database
Functional: PBE
Structure: relaxed

Cell: 7.314 7.314 7.314 Å, 90.00 90.00 90.00°
Space group F-43m (No. 216)
One atom of each set of equivalent atoms:
Ca 0.000 0.000 0.000
Lu 0.000 0.000 0.500
Cd 0.250 0.250 0.250
Ga 0.250 0.250 0.750

Results
Electronic total energy: -0.221 Ry per atom
D(E_F): 0.5482 states/eV per atom
Formation energy: -0.40 eV per atom



(12)
Compound: PWSe
Source: the Alexandria database
Functional: PBE
Structure: relaxed

Cell: 3.2901 3.2901 5.8930 Å, 90.00 90.00 120.00°
Space group P3m1 (No. 156)
One atom of each set of equivalent atoms:
P 0.0000 0.0000 0.0000
W 0.6667 0.3333 0.7371
Se 0.3333 0.6667 0.4415

Results
Energy above the most stable polymorph in this dataset: 0.000 eV per atom
Electronic total energy: -0.543 Ry per atom
E_form (uncorrected): -109.9 meV/atom
D(E_F): 0.7347 states/eV per atom